# 1
10
Lattice="3.200 0.000 0.000 0.000 3.200 0.000 0.000 0.000 16.212" Properties=species:S:1:pos:R:3 comment="PBE-GGA Ta5TiRe4, relaxed" spacegroup="P4/mmm (123)" delta_e_f_mev_per_atom=-349 pbc="T T T"
Ta 0.000 0.000 0.000
Ta 0.000 0.000 3.199
Ta 0.000 0.000 6.375
Ta 0.000 0.000 9.837
Ta 0.000 0.000 13.013
Ti 1.600 1.600 8.106
Re 1.600 1.600 1.601
Re 1.600 1.600 4.812
Re 1.600 1.600 11.400
Re 1.600 1.600 14.611

***

# 2
14
Lattice="5.133 -3.636 0.000 5.133 3.636 0.000 -1.836 0.000 6.638" Properties=species:S:1:pos:R:3 comment="PBE-GGA ThAsClO4, relaxed" spacegroup="C2/m (12)" raw_formation_energy_kj_per_mol_atoms=-221 pbc="T T T"
Th 2.159 0.000 0.934
Th 6.271 0.000 5.705
As 2.380 0.000 4.855
As 6.050 0.000 1.783
Cl -1.220 0.000 5.117
Cl 9.650 0.000 1.521
O 1.583 1.312 5.681
O 2.017 0.000 3.201
O 4.380 0.000 1.505
O 1.583 -1.312 5.681
O 6.847 1.312 0.958
O 4.050 0.000 5.133
O 6.413 0.000 3.438
O 6.847 -1.312 0.958

***

# 3
8
Lattice="5.437 0.000 0.000 0.000 5.541 0.000 -0.095 0.000 7.854" Properties=species:S:1:pos:R:3 comment="PBE-GGA Tl4CdInPb2, relaxed" spacegroup="P2/m (10)" delta_e_f_mev_per_atom=38 pbc="T T T"
Tl -0.011 0.000 2.067
Tl 2.630 2.771 5.778
Tl 2.712 2.771 2.076
Tl 5.353 0.000 5.787
Cd -0.048 2.771 3.927
In 2.671 0.000 3.927
Pb 0.000 2.771 0.000
Pb 2.718 0.000 0.000

***

# 4
4
Lattice="4.746 0.000 0.000 0.000 4.772 0.000 0.000 0.000 4.791" Properties=species:S:1:pos:R:3 comment="PBE-GGA SmDyScIn, relaxed" spacegroup="Pmmm (47)" de_polymorph_mev_per_atom=0 delta_e_f_mev_per_atom=-258 pbc="T T T"
Sm 0.000 0.000 0.000
Dy 2.373 2.386 0.000
Sc 2.373 0.000 2.395
In 0.000 2.386 2.395

***

| no. | D(E_F) (states/eV/f.u.) | size of the total moment (μB/f.u.) |
| --- | --- | --- |
| 1 | 5.91 | 0.0 |
| 2 | 0.00 | 0.0 |
| 3 | 3.85 | 0.0 |
| 4 | 6.02 | 0.0 |